Record 1
Computed, not measured: a geometry-optimized NbCoCu2 structure at the PBE-GGA level of DFT.

Calculated values
Space group ... F-43m (216)
ΔH_f (0 K) ... 0.106 eV per atom

Cell: 4.1948 4.1948 4.1948 Å, 60.00 60.00 60.00°
Last column: nearest neighbours and their distance in Å.
Fractional coordinates of all 4 atoms:
Cu 0.7500 0.7500 0.7500  4 Nb 2.57, 4 Cu 2.57
Cu 0.0000 0.0000 0.0000  4 Co 2.57, 4 Cu 2.57
Nb 0.5000 0.5000 0.5000  4 Cu 2.57, 4 Co 2.57
Co 0.2500 0.2500 0.2500  4 Cu 2.57, 4 Nb 2.57

---

Record 2
Computed, not measured: a geometry-optimized NbCoCu structure at the PBE-GGA level of DFT.

Calculated values
Relative energy among the computed polymorphs ... 1.07 eV per formula unit
Space group ... F-43m (216)
ΔH_f (0 K) ... 0.703 eV per atom

Cell: 4.0864 4.0864 4.0864 Å, 60.00 60.00 60.00°
Last column: nearest neighbours and their distance in Å.
Fractional coordinates of all 3 atoms:
Co 0.7500 0.7500 0.7500  4 Nb 2.50
Cu 0.2500 0.2500 0.2500  4 Nb 2.50
Nb 0.0000 0.0000 0.0000  4 Co 2.50, 4 Cu 2.50

---

Record 3
Computed, not measured: a geometry-optimized NbCoCuPb structure at the PBE-GGA level of DFT.

Calculated values
Relative energy among the computed polymorphs ... 0.68 eV per formula unit
Space group ... F-43m (216)

Cell: 4.5260 4.5260 4.5260 Å, 60.00 60.00 60.00°
Last column: nearest neighbours and their distance in Å.
Fractional coordinates of all 4 atoms:
Cu 0.7500 0.7500 0.7500  4 Pb 2.77, 4 Co 2.77
Co 0.5000 0.5000 0.5000  4 Cu 2.77, 4 Nb 2.77
Pb 0.0000 0.0000 0.0000  4 Nb 2.77, 4 Cu 2.77
Nb 0.2500 0.2500 0.2500  4 Co 2.77, 4 Pb 2.77

---

Record 4
Computed, not measured: a geometry-optimized NbCoCuPb structure at the PBE-GGA level of DFT.

Calculated values
Relative energy among the computed polymorphs ... 0.00 eV per formula unit
Space group ... F-43m (216)

Cell: 4.4684 4.4684 4.4684 Å, 60.00 60.00 60.00°
Last column: nearest neighbours and their distance in Å.
Fractional coordinates of all 4 atoms:
Nb 0.5000 0.5000 0.5000  4 Cu 2.74, 4 Co 2.74
Co 0.7500 0.7500 0.7500  4 Nb 2.74, 4 Pb 2.74
Pb 0.0000 0.0000 0.0000  4 Co 2.74, 4 Cu 2.74
Cu 0.2500 0.2500 0.2500  4 Nb 2.74, 4 Pb 2.74

---

Record 5
Computed, not measured: a geometry-optimized NbCoCuSb structure at the PBE-GGA level of DFT.

Calculated values
Relative energy among the computed polymorphs ... 0.32 eV per formula unit
Space group ... F-43m (216)

Cell: 4.4602 4.4602 4.4602 Å, 60.00 60.00 60.00°
Last column: nearest neighbours and their distance in Å.
Fractional coordinates of all 4 atoms:
Nb 0.2500 0.2500 0.2500  4 Co 2.73, 4 Sb 2.73
Co 0.5000 0.5000 0.5000  4 Nb 2.73, 4 Cu 2.73
Sb 0.0000 0.0000 0.0000  4 Nb 2.73, 4 Cu 2.73
Cu 0.7500 0.7500 0.7500  4 Co 2.73, 4 Sb 2.73

---

Record 6
Computed, not measured: a geometry-optimized NbCoCuSb structure at the PBE-GGA level of DFT.

Calculated values
Relative energy among the computed polymorphs ... 0.00 eV per formula unit
Space group ... F-43m (216)

Cell: 4.4209 4.4209 4.4209 Å, 60.00 60.00 60.00°
Last column: nearest neighbours and their distance in Å.
Fractional coordinates of all 4 atoms:
Co 0.7500 0.7500 0.7500  4 Nb 2.71, 4 Sb 2.71
Sb 0.0000 0.0000 0.0000  4 Cu 2.71, 4 Co 2.71
Nb 0.5000 0.5000 0.5000  4 Cu 2.71, 4 Co 2.71
Cu 0.2500 0.2500 0.2500  4 Nb 2.71, 4 Sb 2.71

---

Record 7
Computed, not measured: a geometry-optimized ScNbCoCu structure at the PBE-GGA level of DFT.

Calculated values
Relative energy among the computed polymorphs ... 0.00 eV per formula unit
Space group ... F-43m (216)
ΔH_f (0 K) ... -0.076 eV per atom

Cell: 4.4181 4.4181 4.4181 Å, 60.00 60.00 60.00°
Last column: nearest neighbours and their distance in Å.
Fractional coordinates of all 4 atoms:
Co 0.2500 0.2500 0.2500  4 Nb 2.71, 4 Sc 2.71
Sc 0.0000 0.0000 0.0000  4 Cu 2.71, 4 Co 2.71
Cu 0.7500 0.7500 0.7500  4 Nb 2.71, 4 Sc 2.71
Nb 0.5000 0.5000 0.5000  4 Co 2.71, 4 Cu 2.71

---

Record 8
Computed, not measured: a geometry-optimized ScNbCoCu structure at the PBE-GGA level of DFT.

Calculated values
Relative energy among the computed polymorphs ... 0.37 eV per formula unit
Space group ... F-43m (216)
ΔH_f (0 K) ... 0.016 eV per atom

Cell: 4.3495 4.3495 4.3495 Å, 60.00 60.00 60.00°
Last column: nearest neighbours and their distance in Å.
Fractional coordinates of all 4 atoms:
Nb 0.2500 0.2500 0.2500  4 Co 2.66, 4 Sc 2.66
Co 0.5000 0.5000 0.5000  4 Nb 2.66, 4 Cu 2.66
Sc 0.0000 0.0000 0.0000  4 Cu 2.66, 4 Nb 2.66
Cu 0.7500 0.7500 0.7500  4 Co 2.66, 4 Sc 2.66

---

Calculated volume in order - 52; 48; 66; 63; 63; 61; 61; 58 Å³/cell